An optimized crystal structure of MnTe2W, computed with PBE-GGA.

Unit cell a=9.063 b=9.063 c=9.063 alpha=20.79 beta=20.79 gamma=20.79
Site moments in Bohr magnetons follow the coordinates.
Fractional positions:
Mn1 0.500 0.500 0.500  1.88
Te1 0.900 0.900 0.900  -0.06
Te2 0.100 0.100 0.100  -0.06
W1 0.000 0.000 0.000  -0.08

As for the formation energy (no corrections): 0.77 eV per atom. The calculation puts the mass density at 10.0 g cm⁻³. Its calculated volume is 20.539 Å³/atom. The space-group type is R-3m, No. 166. The value obtained for the spin magnetization is 1.607 Bohr magnetons per cell.



An optimized crystal structure of CsAgBr3, computed with PBE-GGA.

Unit cell a=8.624 b=7.451 c=6.898 alpha=90.00 beta=65.61 gamma=90.00
Fractional positions:
Cs1 0.570 0.250 0.712
Cs2 0.430 0.750 0.288
Br1 0.999 0.000 0.761
Br2 0.001 0.000 0.239
Br3 0.999 0.500 0.761
Br4 0.001 0.500 0.239
Br5 0.434 0.250 0.282
Br6 0.566 0.750 0.718
Ag1 0.077 0.250 0.461
Ag2 0.923 0.750 0.539

As for the formation energy (no corrections): -0.84 eV per atom. The calculation puts the mass density at 4.0 g cm⁻³. Its calculated volume is 40.372 Å³/atom. The space-group type is P2_1/m, No. 11. The value obtained for the spin magnetization is 0.000 Bohr magnetons per cell.



An optimized crystal structure of PmNbIr2, computed with PBE-GGA.

Unit cell a=3.170 b=3.170 c=7.577 alpha=90.00 beta=90.00 gamma=90.00
Fractional positions:
Nb1 0.500 0.500 0.000
Ir1 0.000 0.000 0.796
Ir2 0.000 0.000 0.204
Pm1 0.500 0.500 0.500

The calculation puts the mass density at 13.6 g cm⁻³. Its calculated volume is 19.039 Å³/atom. The value obtained for the total energy is -34.45 eV per cell. The space-group type is P4/mmm, No. 123. The value obtained for the spin magnetization is 0.000 Bohr magnetons per cell.



An optimized crystal structure of ZnSi2Mo, computed with PBE-GGA.

Unit cell a=6.933 b=6.933 c=5.563 alpha=51.45 beta=51.45 gamma=90.00
Fractional positions:
Mo1 0.000 0.000 0.000
Mo2 0.750 0.250 0.500
Si1 0.625 0.125 0.250
Si2 0.125 0.625 0.250
Si3 0.375 0.375 0.750
Si4 0.875 0.875 0.750
Zn1 0.500 0.500 0.000
Zn2 0.250 0.750 0.500

As for the formation energy (no corrections): 0.49 eV per atom. The calculation puts the mass density at 5.7 g cm⁻³. Its calculated volume is 15.792 Å³/atom. The space-group type is I-42d, No. 122. The value obtained for the spin magnetization is 0.000 Bohr magnetons per cell.



An optimized crystal structure of Pm2ScCo, computed with PBE-GGA.

Unit cell a=3.482 b=3.482 c=8.348 alpha=90.00 beta=90.00 gamma=90.00
Site moments in Bohr magnetons follow the coordinates.
Fractional positions:
Sc1 0.500 0.500 0.500  0.52
Co1 0.500 0.500 0.000  1.19
Pm1 0.000 0.000 0.797  0.00
Pm2 0.000 0.000 0.203  0.00

The calculation puts the mass density at 6.5 g cm⁻³. Its calculated volume is 25.304 Å³/atom. The value obtained for the total energy is -22.68 eV per cell. The space-group type is P4/mmm, No. 123. The value obtained for the spin magnetization is 2.113 Bohr magnetons per cell.



An optimized crystal structure of Nb3IrS, computed with PBE-GGA.

Unit cell a=4.509 b=4.509 c=4.509 alpha=90.00 beta=90.00 gamma=90.00
Fractional positions:
Nb1 0.000 0.500 0.000
Nb2 0.000 0.000 0.500
Nb3 0.500 0.000 0.000
Ir1 0.500 0.500 0.500
S1 0.000 0.000 0.000

As for the formation energy (no corrections): 0.20 eV per atom. The calculation puts the mass density at 9.1 g cm⁻³. Its calculated volume is 18.338 Å³/atom. The space-group type is Pm-3m, No. 221. The value obtained for the spin magnetization is 0.000 Bohr magnetons per cell.



An optimized crystal structure of CsAcCu2H6, computed with PBE-GGA.

Unit cell a=7.176 b=7.176 c=7.534 alpha=105.52 beta=105.52 gamma=93.86
Fractional positions:
Cs1 0.117 0.883 0.250
Cs2 0.883 0.117 0.750
Ac1 0.610 0.390 0.250
Ac2 0.390 0.610 0.750
Cu1 0.382 0.165 0.750
Cu2 0.835 0.618 0.750
Cu3 0.618 0.835 0.250
Cu4 0.165 0.382 0.250
H1 0.937 0.347 0.207
H2 0.653 0.063 0.293
H3 0.063 0.653 0.793
H4 0.347 0.937 0.707
H5 0.262 0.247 0.096
H6 0.753 0.738 0.404
H7 0.738 0.753 0.904
H8 0.247 0.262 0.596
H9 0.347 0.544 0.394
H10 0.456 0.653 0.106
H11 0.653 0.456 0.606
H12 0.544 0.347 0.894

The calculation puts the mass density at 4.6 g cm⁻³. Its calculated volume is 17.805 Å³/atom. The value obtained for the total energy is -69.95 eV per cell. The space-group type is C2/c, No. 15. The value obtained for the spin magnetization is 0.000 Bohr magnetons per cell.



An optimized crystal structure of Ca3Cd6Hg5, computed with PBE-GGA.

Unit cell a=4.592 b=11.352 c=13.708 alpha=90.00 beta=90.00 gamma=90.00
Fractional positions:
Ca1 0.000 0.248 0.700
Ca2 0.500 0.752 0.200
Ca3 0.500 0.752 0.800
Ca4 0.000 0.248 0.000
Ca5 0.500 0.752 0.500
Ca6 0.000 0.248 0.300
Cd1 0.000 0.982 0.844
Cd2 0.500 0.018 0.656
Cd3 0.500 0.396 0.851
Cd4 0.500 0.588 0.000
Cd5 0.000 0.412 0.500
Cd6 0.000 0.604 0.649
Cd7 0.000 0.604 0.351
Cd8 0.500 0.954 0.000
Cd9 0.000 0.982 0.156
Cd10 0.500 0.396 0.149
Cd11 0.000 0.046 0.500
Cd12 0.500 0.018 0.344
Hg1 0.000 0.551 0.862
Hg2 0.000 0.856 0.651
Hg3 0.000 0.781 0.000
Hg4 0.500 0.449 0.638
Hg5 0.500 0.219 0.500
Hg6 0.000 0.551 0.138
Hg7 0.500 0.449 0.362
Hg8 0.000 0.856 0.349
Hg9 0.500 0.144 0.849
Hg10 0.500 0.144 0.151

The calculation puts the mass density at 8.4 g cm⁻³. Its calculated volume is 25.521 Å³/atom. The value obtained for the total energy is -33.90 eV per cell. The space-group type is Pmmn, No. 59. The value obtained for the spin magnetization is 0.000 Bohr magnetons per cell.



An optimized crystal structure of RbHf2IrO8, computed with PBE-GGA.

Unit cell a=5.306 b=5.305 c=7.406 alpha=78.53 beta=78.53 gamma=73.79
Site moments in Bohr magnetons follow the coordinates.
Fractional positions:
Rb1 0.000 0.000 0.500  0.01
Hf1 0.452 0.451 0.719  0.01
Hf2 0.548 0.549 0.281  0.01
Ir1 0.000 0.000 0.000  0.71
O1 0.230 0.791 0.178  0.10
O2 0.773 0.776 0.084  0.09
O3 0.793 0.231 0.177  0.10
O4 0.770 0.209 0.822  0.10
O5 0.227 0.224 0.916  0.09
O6 0.207 0.769 0.823  0.10
O7 0.651 0.652 0.494  0.03
O8 0.349 0.348 0.506  0.03

As for the formation energy (no corrections): -1.98 eV per atom. The calculation puts the mass density at 6.5 g cm⁻³. Its calculated volume is 16.157 Å³/atom. The space-group type is P-1, No. 2. The value obtained for the spin magnetization is 1.582 Bohr magnetons per cell.



An optimized crystal structure of TiTcW2, computed with PBE-GGA.

Unit cell a=3.138 b=4.449 c=4.449 alpha=90.00 beta=90.00 gamma=90.00
Fractional positions:
Tc1 0.500 0.000 0.000
W1 0.000 0.000 0.500
W2 0.000 0.500 0.000
Ti1 0.500 0.500 0.500

The calculation puts the mass density at 13.7 g cm⁻³. Its calculated volume is 15.529 Å³/atom. The value obtained for the total energy is -44.61 eV per cell. The space-group type is P4/mmm, No. 123. The value obtained for the spin magnetization is 0.000 Bohr magnetons per cell.



An optimized crystal structure of MgBe2Pt, computed with PBE-GGA.

Unit cell a=4.153 b=4.153 c=4.153 alpha=60.00 beta=60.00 gamma=60.00
Fractional positions:
Be1 0.000 0.000 0.000
Be2 0.250 0.250 0.250
Mg1 0.500 0.500 0.500
Pt1 0.750 0.750 0.750

The calculation puts the mass density at 7.8 g cm⁻³. Its calculated volume is 12.667 Å³/atom. The value obtained for the total energy is -15.93 eV per cell. The space-group type is F-43m, No. 216. The value obtained for the spin magnetization is 0.000 Bohr magnetons per cell.



An optimized crystal structure of CeNdNp2S4, computed with PBE-GGA.

Unit cell a=3.975 b=6.900 c=6.873 alpha=109.46 beta=90.00 gamma=90.00
Site moments in Bohr magnetons follow the coordinates.
Fractional positions:
Ce1 0.500 0.500 0.000  0.71
Nd1 0.000 0.000 0.000  0.00
Np1 0.500 0.000 0.500  3.91
Np2 0.000 0.500 0.500  3.92
S1 0.500 0.256 0.263  -0.06
S2 0.500 0.744 0.737  -0.06
S3 0.000 0.247 0.737  -0.07
S4 0.000 0.753 0.263  -0.07

As for the formation energy (no corrections): -1.72 eV per atom. The calculation puts the mass density at 8.3 g cm⁻³. Its calculated volume is 22.220 Å³/atom. The space-group type is P2/m, No. 10. The value obtained for the spin magnetization is 9.272 Bohr magnetons per cell.



An optimized crystal structure of TaTeOsRh2, computed with PBE-GGA.

Unit cell a=4.763 b=4.818 c=4.763 alpha=90.00 beta=90.00 gamma=90.00
Site moments in Bohr magnetons follow the coordinates.
Fractional positions:
Rh1 0.000 0.000 0.500  0.06
Rh2 0.500 0.000 0.000  0.08
Te1 0.500 0.500 0.500  0.01
Os1 0.000 0.500 0.000  0.42
Ta1 0.000 0.000 0.000  -0.04

As for the formation energy (no corrections): 1.25 eV per atom. The calculation puts the mass density at 10.7 g cm⁻³. Its calculated volume is 21.861 Å³/atom. The space-group type is P4/mmm, No. 123. The value obtained for the spin magnetization is 0.543 Bohr magnetons per cell.



An optimized crystal structure of SrLiY, computed with PBE-GGA.

Unit cell a=7.482 b=7.482 c=3.838 alpha=75.15 beta=75.13 gamma=29.72
Site moments in Bohr magnetons follow the coordinates.
Fractional positions:
Li1 0.012 0.012 0.988  0.01
Sr1 0.347 0.347 0.653  0.01
Y1 0.641 0.641 0.359  0.13

The calculation puts the mass density at 3.0 g cm⁻³. Its calculated volume is 34.228 Å³/atom. The value obtained for the total energy is -9.55 eV per cell. The space-group type is I4mm, No. 107. The value obtained for the spin magnetization is 0.341 Bohr magnetons per cell.



An optimized crystal structure of PmPr4Hg3, computed with PBE-GGA.

Unit cell a=5.475 b=5.475 c=9.855 alpha=73.87 beta=73.87 gamma=60.00
Fractional positions:
Pr1 0.869 0.869 0.392
Pr2 0.387 0.387 0.839
Pr3 0.131 0.131 0.608
Pr4 0.613 0.613 0.161
Hg1 0.264 0.264 0.208
Hg2 0.736 0.736 0.792
Hg3 0.500 0.500 0.500
Pm1 0.000 0.000 0.000

The calculation puts the mass density at 9.0 g cm⁻³. Its calculated volume is 30.291 Å³/atom. The value obtained for the total energy is -27.11 eV per cell. The space-group type is R-3m, No. 166. The value obtained for the spin magnetization is 0.151 Bohr magnetons per cell.



An optimized crystal structure of IrSe3N, computed with PBE-GGA.

Unit cell a=4.301 b=4.301 c=4.301 alpha=90.00 beta=90.00 gamma=90.00
Fractional positions:
Ir1 0.500 0.500 0.500
Se1 0.000 0.500 0.000
Se2 0.000 0.000 0.500
Se3 0.500 0.000 0.000
N1 0.000 0.000 0.000

As for the formation energy (no corrections): 1.26 eV per atom. The calculation puts the mass density at 9.2 g cm⁻³. Its calculated volume is 15.913 Å³/atom. The space-group type is Pm-3m, No. 221. The value obtained for the spin magnetization is 0.000 Bohr magnetons per cell.



An optimized crystal structure of Na3ZnHg3, computed with PBE-GGA.

Unit cell a=4.576 b=6.093 c=14.770 alpha=84.47 beta=81.09 gamma=67.94
Fractional positions:
Na1 0.523 0.341 0.613
Na2 0.477 0.659 0.387
Na3 0.256 0.253 0.235
Na4 0.744 0.747 0.765
Na5 0.399 0.284 0.919
Na6 0.601 0.716 0.081
Zn1 0.768 0.070 0.394
Zn2 0.232 0.930 0.606
Hg1 0.860 0.734 0.546
Hg2 0.140 0.266 0.454
Hg3 0.122 0.833 0.922
Hg4 0.878 0.167 0.078
Hg5 0.975 0.813 0.237
Hg6 0.025 0.187 0.763

The calculation puts the mass density at 6.5 g cm⁻³. Its calculated volume is 26.913 Å³/atom. The value obtained for the total energy is -14.66 eV per cell. The space-group type is C2/m, No. 12. The value obtained for the spin magnetization is 0.000 Bohr magnetons per cell.



An optimized crystal structure of Ce2YFe, computed with PBE-GGA.

Unit cell a=3.755 b=3.755 c=8.917 alpha=77.84 beta=77.84 gamma=60.00
Site moments in Bohr magnetons follow the coordinates.
Fractional positions:
Ce1 0.058 0.058 0.825  0.09
Ce2 0.277 0.277 0.170  0.01
Y1 0.501 0.501 0.496  0.02
Fe1 0.664 0.664 0.009  -0.01

The calculation puts the mass density at 6.7 g cm⁻³. Its calculated volume is 26.406 Å³/atom. The value obtained for the total energy is -26.37 eV per cell. The space-group type is R3m, No. 160. The value obtained for the spin magnetization is 0.147 Bohr magnetons per cell.



An optimized crystal structure of TeH3F, computed with PBE-GGA.

Unit cell a=3.768 b=3.768 c=3.768 alpha=90.00 beta=90.00 gamma=90.00
Fractional positions:
H1 0.000 0.500 0.000
H2 0.000 0.000 0.500
H3 0.500 0.000 0.000
Te1 0.000 0.000 0.000
F1 0.500 0.500 0.500

The calculation puts the mass density at 4.6 g cm⁻³. Its calculated volume is 10.699 Å³/atom. The value obtained for the total energy is -15.14 eV per cell. The space-group type is Pm-3m, No. 221. The value obtained for the spin magnetization is 0.000 Bohr magnetons per cell.



An optimized crystal structure of Na2BO3, computed with PBE-GGA.

Unit cell a=5.416 b=5.416 c=6.313 alpha=90.00 beta=90.00 gamma=120.00
Site moments in Bohr magnetons follow the coordinates.
Fractional positions:
Na1 0.000 0.000 0.000  0.00
Na2 0.667 0.333 0.250  0.00
Na3 0.000 0.000 0.500  0.00
Na4 0.333 0.667 0.750  0.00
B1 0.333 0.667 0.250  -0.02
B2 0.667 0.333 0.750  -0.02
O1 0.188 0.376 0.250  0.27
O2 0.624 0.812 0.250  0.27
O3 0.188 0.812 0.250  0.27
O4 0.812 0.624 0.750  0.27
O5 0.812 0.188 0.750  0.27
O6 0.376 0.188 0.750  0.27

As for the formation energy (no corrections): -1.83 eV per atom. The calculation puts the mass density at 2.2 g cm⁻³. Its calculated volume is 13.362 Å³/atom. The space-group type is P6_3/mmc, No. 194. The value obtained for the spin magnetization is 1.870 Bohr magnetons per cell.